PBE LiHfRu3, relaxed; polymorph energy (0 for the lowest one) = 0 meV per atom; energy of formation = 461 meV per atom
1.0
4.176 0.000 0.000
0.000 4.176 0.000
0.000 0.000 4.176
Hf Ru Li
1 3 1
direct
0.500 0.500 0.500 Hf
0.500 0.000 0.000 Ru
0.000 0.500 0.000 Ru
0.000 0.000 0.500 Ru
0.000 0.000 0.000 Li